(1)
{"formula": "MnAu2", "functional": "PBE-GGA", "state": "relaxed", "cell": [[6.269, 0.000, 0.000], [0.000, 6.269, 0.000], [0.000, 0.000, 6.269]], "species": ["Mn", "Mn", "Mn", "Mn", "Au", "Au", "Au", "Au", "Au", "Au", "Au", "Au"], "fractional_positions": [[0.000, 0.000, 0.000], [0.000, 0.500, 0.500], [0.500, 0.000, 0.500], [0.500, 0.500, 0.000], [0.129, 0.629, 0.871], [0.129, 0.871, 0.371], [0.371, 0.129, 0.871], [0.371, 0.371, 0.371], [0.629, 0.629, 0.629], [0.629, 0.871, 0.129], [0.871, 0.129, 0.629], [0.871, 0.371, 0.129]], "relative_energy_mev_per_atom": 474.6}

=====

(2)
{"formula": "Li2Ge2Pd7", "functional": "PBE-GGA", "state": "relaxed", "cell": [[6.666, 0.188, 0.271], [-0.531, 5.486, -0.439], [-0.531, -2.338, 4.982]], "species": ["Li", "Li", "Ge", "Ge", "Pd", "Pd", "Pd", "Pd", "Pd", "Pd", "Pd"], "fractional_positions": [[0.671, 0.153, 0.153], [0.329, 0.847, 0.847], [0.500, 0.292, 0.708], [0.500, 0.708, 0.292], [0.184, 0.908, 0.424], [0.816, 0.576, 0.092], [0.816, 0.092, 0.576], [0.184, 0.424, 0.908], [0.000, 0.000, 0.000], [0.709, 0.624, 0.624], [0.291, 0.376, 0.376]], "energy_ev_per_fu": -52.63}

=====

(3)
{"formula": "BeSbAs", "functional": "PBE-GGA", "state": "relaxed", "cell": [[-2.710, 2.446, 0.497], [-2.512, -0.544, 2.640], [7.523, 5.826, 7.433]], "species": ["Sb", "Sb", "Be", "Be", "As", "As"], "fractional_positions": [[0.540, 0.540, 0.009], [0.214, 0.214, 0.299], [0.566, 0.566, 0.459], [0.187, 0.187, 0.848], [0.239, 0.239, 0.514], [0.514, 0.514, 0.793]], "e_form_raw_kcal_per_mol_atoms": 1.899, "relative_energy_mev_per_atom": 0.0}

=====

(4)
{"formula": "CeBiSe4", "functional": "PBE-GGA", "state": "relaxed", "cell": [[7.150, 0.000, -0.239], [0.000, 7.022, 0.000], [-0.351, 0.000, 7.039]], "species": ["Ce", "Ce", "Bi", "Bi", "Se", "Se", "Se", "Se", "Se", "Se", "Se", "Se"], "fractional_positions": [[0.000, 0.000, 0.000], [0.500, 0.500, 0.000], [0.500, 0.000, 0.500], [0.000, 0.500, 0.500], [0.855, 0.647, 0.130], [0.645, 0.147, 0.870], [0.377, 0.387, 0.374], [0.123, 0.887, 0.626], [0.145, 0.353, 0.870], [0.355, 0.853, 0.130], [0.623, 0.613, 0.626], [0.877, 0.113, 0.374]], "e_form_raw_kcal_per_mol_atoms": -17.581}

=====

Copy entry 3 word for word.
{"formula": "BeSbAs", "functional": "PBE-GGA", "state": "relaxed", "cell": [[-2.710, 2.446, 0.497], [-2.512, -0.544, 2.640], [7.523, 5.826, 7.433]], "species": ["Sb", "Sb", "Be", "Be", "As", "As"], "fractional_positions": [[0.540, 0.540, 0.009], [0.214, 0.214, 0.299], [0.566, 0.566, 0.459], [0.187, 0.187, 0.848], [0.239, 0.239, 0.514], [0.514, 0.514, 0.793]], "e_form_raw_kcal_per_mol_atoms": 1.899, "relative_energy_mev_per_atom": 0.0}